Density functional theory data (PBE) for a relaxed LaAl4Pd8 crystal.

```
LaAl4Pd8
1.0
-4.435 4.435 2.712
4.435 -4.435 2.712
4.435 4.435 -2.712
La Al Pd
1 4 8
Direct
0.000 0.000 0.000
0.000 0.000 0.500
0.000 0.500 0.000
0.500 0.000 0.000
0.500 0.500 0.500
0.000 0.337 0.337
0.000 0.663 0.663
0.274 0.500 0.774
0.337 0.000 0.337
0.500 0.274 0.774
0.500 0.726 0.226
0.663 0.000 0.663
0.726 0.500 0.226
```

Summary:
DFT total energy = -5.534 eV per atom
ΔE_f = -807.4 meV per atom
density of states at the Fermi level = 6.50 states/eV/f.u.



Density functional theory data (PBE) for a relaxed CaPRu2N crystal.

```
CaPRu2N
1.0
1.850 -5.637 0.000
1.850 5.637 0.000
0.000 0.000 7.015
Ca P Ru N
2 2 4 2
Direct
0.040 0.960 0.750
0.960 0.040 0.250
0.231 0.769 0.250
0.769 0.231 0.750
0.336 0.664 0.550
0.336 0.664 0.950
0.664 0.336 0.050
0.664 0.336 0.450
0.500 0.500 0.000
0.500 0.500 0.500
```

Summary:
uncorrected formation energy = -0.670 eV/atom
DFT total energy = -7.527 eV per atom
density of states at the Fermi level = 2.01 states/eV/f.u.



Density functional theory data (PBE) for a relaxed CoPSN2 crystal.

```
CoPSN2
1.0
3.268 0.000 0.000
0.000 3.268 0.000
0.000 0.000 6.303
Co P S N
1 1 1 2
Direct
0.000 0.000 0.000
0.500 0.500 0.500
0.500 0.500 0.000
0.000 0.500 0.500
0.500 0.000 0.500
```

Summary:
uncorrected formation energy = 0.788 eV/atom
DFT total energy = -5.871 eV per atom
ΔE to the lowest computed polymorph = 0.000 eV per formula unit
density of states at the Fermi level = 5.71 states/eV/f.u.



Density functional theory data (PBE) for a relaxed Y2HoTm8 crystal.

```
Y2HoTm8
1.0
8.216 -3.260 0.000
8.216 3.260 0.000
-1.281 0.000 6.446
Y Ho Tm
2 1 8
Direct
0.242 0.242 0.311
0.758 0.758 0.689
0.000 0.000 0.000
0.176 0.651 0.595
0.200 0.200 0.800
0.349 0.824 0.405
0.410 0.410 0.094
0.590 0.590 0.906
0.651 0.176 0.595
0.800 0.800 0.200
0.824 0.349 0.405
```

Summary:
DFT total energy = -4.656 eV per atom
ΔE_f = 187.2 meV per atom
ΔE to the lowest computed polymorph = 0.826 eV per formula unit
density of states at the Fermi level = 18.09 states/eV/f.u.



Density functional theory data (PBE) for a relaxed Er3SiNi9B2 crystal.

```
Er3SiNi9B2
1.0
5.373 0.000 0.000
-2.686 4.653 0.000
0.000 0.000 8.185
Er Si Ni B
3 1 9 2
Direct
0.000 0.000 0.000
0.333 0.667 0.625
0.667 0.333 0.375
0.000 0.000 0.500
0.000 0.500 0.000
0.164 0.329 0.285
0.164 0.836 0.285
0.329 0.164 0.715
0.500 0.000 0.000
0.500 0.500 0.000
0.671 0.836 0.285
0.836 0.164 0.715
0.836 0.671 0.715
0.333 0.667 0.148
0.667 0.333 0.852
```

Summary:
uncorrected formation energy = -0.480 eV/atom
DFT total energy = -6.113 eV per atom
density of states at the Fermi level = 6.59 states/eV/f.u.



Density functional theory data (PBE) for a relaxed BaY2Be crystal.

```
BaY2Be
1.0
7.770 0.000 0.000
0.000 7.770 0.000
0.000 0.000 12.160
Ba Y Be
4 8 4
Direct
0.000 0.250 0.375
0.000 0.750 0.625
0.500 0.250 0.125
0.500 0.750 0.875
0.000 0.000 0.000
0.000 0.500 0.000
0.250 0.250 0.750
0.250 0.750 0.250
0.500 0.000 0.500
0.500 0.500 0.500
0.750 0.250 0.750
0.750 0.750 0.250
0.000 0.250 0.875
0.000 0.750 0.125
0.500 0.250 0.625
0.500 0.750 0.375
```

Summary:
DFT total energy = -3.845 eV per atom
ΔE_f = 799.4 meV per atom
density of states at the Fermi level = 6.34 states/eV/f.u.



Density functional theory data (PBE) for a relaxed ZnH2Pd2 crystal.

```
ZnH2Pd2
1.0
5.908 0.000 0.000
0.000 5.908 0.000
0.000 0.000 3.077
Zn H Pd
2 4 4
Direct
0.000 0.000 0.000
0.500 0.500 0.000
0.211 0.289 0.000
0.289 0.789 0.000
0.711 0.211 0.000
0.789 0.711 0.000
0.183 0.683 0.500
0.317 0.183 0.500
0.683 0.817 0.500
0.817 0.317 0.500
```

Summary:
DFT total energy = -3.756 eV per atom
ΔE to the lowest computed polymorph = 0.681 eV per formula unit
density of states at the Fermi level = 0.88 states/eV/f.u.



Density functional theory data (PBE) for a relaxed Sr4V crystal.

```
Sr4V
1.0
6.353 0.000 0.000
0.000 6.353 0.000
0.000 0.000 6.353
Sr V
4 1
Direct
0.000 0.000 0.000
0.000 0.500 0.500
0.500 0.000 0.500
0.500 0.500 0.000
0.500 0.500 0.500
```

Summary:
DFT total energy = -2.660 eV per atom
ΔE_f = 509.5 meV per atom
density of states at the Fermi level = 4.74 states/eV/f.u.



Copy entry 8 word for word.
Density functional theory data (PBE) for a relaxed Sr4V crystal.

```
Sr4V
1.0
6.353 0.000 0.000
0.000 6.353 0.000
0.000 0.000 6.353
Sr V
4 1
Direct
0.000 0.000 0.000
0.000 0.500 0.500
0.500 0.000 0.500
0.500 0.500 0.000
0.500 0.500 0.500
```

Summary:
DFT total energy = -2.660 eV per atom
ΔE_f = 509.5 meV per atom
density of states at the Fermi level = 4.74 states/eV/f.u.



Copy entry 1 word for word.
Density functional theory data (PBE) for a relaxed LaAl4Pd8 crystal.

```
LaAl4Pd8
1.0
-4.435 4.435 2.712
4.435 -4.435 2.712
4.435 4.435 -2.712
La Al Pd
1 4 8
Direct
0.000 0.000 0.000
0.000 0.000 0.500
0.000 0.500 0.000
0.500 0.000 0.000
0.500 0.500 0.500
0.000 0.337 0.337
0.000 0.663 0.663
0.274 0.500 0.774
0.337 0.000 0.337
0.500 0.274 0.774
0.500 0.726 0.226
0.663 0.000 0.663
0.726 0.500 0.226
```

Summary:
DFT total energy = -5.534 eV per atom
ΔE_f = -807.4 meV per atom
density of states at the Fermi level = 6.50 states/eV/f.u.



Please write out number 5 again, unchanged.
Density functional theory data (PBE) for a relaxed Er3SiNi9B2 crystal.

```
Er3SiNi9B2
1.0
5.373 0.000 0.000
-2.686 4.653 0.000
0.000 0.000 8.185
Er Si Ni B
3 1 9 2
Direct
0.000 0.000 0.000
0.333 0.667 0.625
0.667 0.333 0.375
0.000 0.000 0.500
0.000 0.500 0.000
0.164 0.329 0.285
0.164 0.836 0.285
0.329 0.164 0.715
0.500 0.000 0.000
0.500 0.500 0.000
0.671 0.836 0.285
0.836 0.164 0.715
0.836 0.671 0.715
0.333 0.667 0.148
0.667 0.333 0.852
```

Summary:
uncorrected formation energy = -0.480 eV/atom
DFT total energy = -6.113 eV per atom
density of states at the Fermi level = 6.59 states/eV/f.u.



> The lowest DFT total energy belongs to which entry?

CaPRu2N